BaCoN: relaxed, PBE.

Summary:
E_form (uncorrected) in eV per atom: 0.03
Magnetization in μB per cell: 1.5
Calculated density in g/cm³: 4.75
Total DFT energy (no corrections) in eV/atom: -5.758

a = 3.426 Å, b = 5.405 Å, c = 8.199 Å
α = 82.06°, β = 102.06°, γ = 90.00°
Positions (direct):
Ba 0.373 0.696 0.747
Ba 0.627 0.304 0.253
Co 0.026 0.801 0.051
Co 0.974 0.199 0.949
N 0.500 0.000 0.000
N 0.000 0.500 0.000

***

BaCoN3: relaxed, PBE.

Summary:
E_form (uncorrected) in eV per atom: 0.81
Magnetization in μB per cell: 0.0
Calculated density in g/cm³: 6.57
Total DFT energy (no corrections) in eV/atom: -5.988

a = 3.920 Å, b = 3.920 Å, c = 3.920 Å
α = 90.00°, β = 90.00°, γ = 90.00°
Positions (direct):
N 0.000 0.500 0.000
N 0.500 0.000 0.000
N 0.000 0.000 0.500
Ba 0.500 0.500 0.500
Co 0.000 0.000 0.000